# CdFePb2 | the Alexandria database | GGA-PBE | optimized geometry
data_CdFePb2
_symmetry_space_group_name_H-M 'P 1'
_symmetry_Int_Tables_number 1
_symmetry_space_group_name_Hall 'P 1'
_cell_length_a 3.227
_cell_length_b 3.227
_cell_length_c 9.205
_cell_angle_alpha 90.00
_cell_angle_beta 90.00
_cell_angle_gamma 90.31
loop_
_atom_site_label
_atom_site_type_symbol
_atom_site_fract_x
_atom_site_fract_y
_atom_site_fract_z
Cd1 Cd 0.000 0.000 0.551
Fe1 Fe 0.500 0.500 0.729
Pb1 Pb 0.000 0.000 0.942
Pb2 Pb 0.500 0.500 0.278
# - formation energy (eV/atom) = 0.32